# MnGaAg2F6

A geometry-optimized MnGaAg2F6 structure (PBE+U, Alexandria via LeMat-Bulk).

Cell lengths 5.847, 5.818, 10.057 Å; angles 90.00, 125.53, 90.00 degrees
Sites, in units of the cell vectors:
1 Mn 0.000 0.000 0.000
2 Mn 0.000 0.500 0.500
3 Ga 0.500 0.000 0.500
4 Ga 0.500 0.500 0.000
5 Ag 0.252 0.001 0.748
6 Ag 0.252 0.499 0.248
7 Ag 0.748 0.501 0.752
8 Ag 0.748 0.999 0.252
9 F 0.200 0.001 0.263
10 F 0.200 0.499 0.763
11 F 0.295 0.736 0.033
12 F 0.295 0.764 0.533
13 F 0.300 0.241 0.532
14 F 0.300 0.259 0.032
15 F 0.700 0.741 0.968
16 F 0.700 0.759 0.468
17 F 0.705 0.236 0.467
18 F 0.705 0.264 0.967
19 F 0.800 0.501 0.237
20 F 0.800 0.999 0.737

Values from the calculation:
Total energy in hartree per atom: -0.1687
Crystal system: monoclinic
Magnetic moment in μB per formula unit: 5.0
D(E_F) in states/eV/f.u.: 1.59